1.
Material: YTmCdRh
Method: DFT, GGA-PBE
State: optimized geometry

a = 3.4903 Å, b = 3.4903 Å, c = 7.5051 Å
α = 90.00°, β = 90.00°, γ = 90.00°
Closest atoms and distances in Å follow each position.
Positions (direct):
Y1 0.0000 0.0000 0.0000  4 Rh 3.00, 1 Tm 3.27, 4 Cd 3.28
Tm1 0.0000 0.0000 0.5649  4 Rh 2.92, 4 Cd 3.23, 1 Y 3.27
Cd1 0.5000 0.5000 0.2876  4 Tm 3.23, 4 Y 3.28, 4 Cd 3.49
Rh1 0.5000 0.5000 0.7729  4 Tm 2.92, 4 Y 3.00

Output
E above lowest polymorph = 0.000 eV/atom
symmetry = No. 99
V = 91.4 Å³/cell
E_form = -0.637 eV per atom
total magnetization = 0.00 μB/f.u.

---

2.
Material: TmZnCdRh
Method: DFT, GGA-PBE
State: optimized geometry

a = 4.7342 Å, b = 4.7342 Å, c = 4.7342 Å
α = 60.00°, β = 60.00°, γ = 60.00°
Closest atoms and distances in Å follow each position.
Positions (direct):
Tm1 0.0000 0.0000 0.0000  4 Rh 2.90, 4 Zn 2.90
Zn1 0.2500 0.2500 0.2500  4 Cd 2.90, 4 Tm 2.90
Cd1 0.5000 0.5000 0.5000  4 Rh 2.90, 4 Zn 2.90
Rh1 0.7500 0.7500 0.7500  4 Cd 2.90, 4 Tm 2.90

Output
symmetry = No. 216
V = 75.0 Å³/cell
E_form = -0.389 eV per atom
total magnetization = 0.00 μB/f.u.

---

3.
Material: TmZrCdRh
Method: DFT, GGA-PBE
State: optimized geometry

a = 4.9045 Å, b = 4.9045 Å, c = 4.9045 Å
α = 60.00°, β = 60.00°, γ = 60.00°
Closest atoms and distances in Å follow each position.
Positions (direct):
Tm1 0.0000 0.0000 0.0000  4 Cd 3.00, 4 Rh 3.00
Zr1 0.5000 0.5000 0.5000  4 Cd 3.00, 4 Rh 3.00
Cd1 0.2500 0.2500 0.2500  4 Zr 3.00, 4 Tm 3.00
Rh1 0.7500 0.7500 0.7500  4 Zr 3.00, 4 Tm 3.00

Output
symmetry = No. 216
V = 83.4 Å³/cell
E_form = -0.396 eV per atom
total magnetization = 0.00 μB/f.u.

---

4.
Material: UCdRh2
Method: DFT, GGA-PBE
State: optimized geometry

a = 4.5690 Å, b = 4.5690 Å, c = 3.4924 Å
α = 90.00°, β = 90.00°, γ = 90.00°
Closest atoms and distances in Å follow each position.
Positions (direct):
U1 0.0000 0.0000 0.0000  8 Rh 2.88
Cd1 0.5000 0.5000 0.0000  8 Rh 2.88
Rh1 0.0000 0.5000 0.5000  4 Cd 2.88, 4 U 2.88
Rh2 0.5000 0.0000 0.5000  4 Cd 2.88, 4 U 2.88

Output
symmetry = No. 123
V = 72.9 Å³/cell
E_form = -0.359 eV per atom
total magnetization = 2.10 μB/f.u.

---

5.
Material: UCdRh
Method: DFT, GGA-PBE
State: optimized geometry

a = 3.2256 Å, b = 3.2350 Å, c = 12.9331 Å
α = 86.50°, β = 86.29°, γ = 61.79°
Closest atoms and distances in Å follow each position.
Positions (direct):
U1 0.0000 0.0000 0.0000  2 U 2.62, 3 Rh 2.70-2.74
U2 0.4713 0.4754 0.1575  2 U 2.62, 3 Rh 2.69-2.74
Cd1 0.0701 0.0589 0.6767  3 Rh 2.89-2.91, 7 Cd 3.12-3.24
Cd2 0.4242 0.4286 0.4805  3 Rh 2.89-2.91, 7 Cd 3.12-3.24
Rh1 0.1138 0.1147 0.3096  3 U 2.69-2.74, 3 Cd 2.89-2.91
Rh2 0.6981 0.6870 0.8478  3 U 2.70-2.74, 3 Cd 2.89-2.91

Output
symmetry = No. 1
V = 118.6 Å³/cell
E_form = -0.196 eV per atom
total magnetization = 0.00 μB/f.u.

---

6.
Material: UCdRh2
Method: DFT, GGA-PBE
State: optimized geometry

a = 3.3613 Å, b = 3.3613 Å, c = 6.5345 Å
α = 90.00°, β = 90.00°, γ = 90.00°
Closest atoms and distances in Å follow each position.
Positions (direct):
U1 0.0000 0.0000 0.0000  8 Rh 2.86
Cd1 0.0000 0.0000 0.5000  8 Rh 2.91
Rh1 0.5000 0.5000 0.2424  4 U 2.86, 4 Cd 2.91, 1 Rh 3.17
Rh2 0.5000 0.5000 0.7576  4 U 2.86, 4 Cd 2.91, 1 Rh 3.17

Output
symmetry = No. 123
V = 73.8 Å³/cell
E_form = -0.364 eV per atom
total magnetization = 1.75 μB/f.u.

---

7.
Material: UCdRh2
Method: DFT, GGA-PBE
State: optimized geometry

a = 7.4267 Å, b = 7.4267 Å, c = 7.4267 Å
α = 28.21°, β = 28.21°, γ = 28.21°
Closest atoms and distances in Å follow each position.
Positions (direct):
U1 0.0000 0.0000 0.0000  6 Rh 2.64-2.65
Cd1 0.1679 0.1679 0.1679  6 Rh 2.84-2.86
Rh1 0.4096 0.4096 0.4096  3 U 2.65, 3 Cd 2.86
Rh2 0.5910 0.5910 0.5910  3 U 2.64, 3 Cd 2.84

Output
symmetry = No. 160
V = 80.9 Å³/cell
E_form = -0.256 eV per atom
total magnetization = 0.64 μB/f.u.

---

8.
Material: UCdRh
Method: DFT, GGA-PBE
State: optimized geometry

a = 6.3861 Å, b = 6.3861 Å, c = 6.3861 Å
α = 150.82°, β = 150.82°, γ = 41.74°
Closest atoms and distances in Å follow each position.
Positions (direct):
U1 0.0000 0.0000 0.0000  4 Rh 2.79
Cd1 0.7086 0.7086 0.0000  4 Rh 2.94, 4 Cd 3.22
Rh1 0.3649 0.3649 0.0000  4 U 2.79, 4 Cd 2.94

Output
symmetry = No. 107
V = 61.8 Å³/cell
E_form = -0.162 eV per atom
total magnetization = 2.22 μB/f.u.

---

Question: What is the formula in the sixth record?
Answer: UCdRh2